CsMgTlF6 | PBE-GGA | relaxed

Results
Calculated volume, Å³/atom: 18.3
SG: Imma, No. 74
Uncorrected formation energy, meV/atom: -2665

Cell: 7.728 7.728 7.728 Å, 121.34 117.23 91.28°
Positions (direct):
Cs 0.339 0.089 0.250
Cs 0.661 0.911 0.750
Mg 0.000 0.000 0.500
Mg 0.000 0.500 0.000
Tl 0.000 0.500 0.500
Tl 0.500 0.500 0.000
F 0.039 0.789 0.250
F 0.049 0.400 0.211
F 0.049 0.838 0.649
F 0.311 0.162 0.711
F 0.311 0.600 0.149
F 0.346 0.596 0.750
F 0.654 0.404 0.250
F 0.689 0.400 0.851
F 0.689 0.838 0.289
F 0.951 0.162 0.351
F 0.951 0.600 0.789
F 0.961 0.211 0.750